Record 1
## BaIn3Ni (PBE-GGA)

Data for an optimized crystal structure of BaIn3Ni.

Summary:
Magnetic moment = 0.000 μB per formula unit
E = -17.2 eV for the cell shown
Calculated formation energy = -0.2612 eV/atom

a = 5.1305 Å, b = 5.1305 Å, c = 5.1305 Å
α = 90.00°, β = 90.00°, γ = 90.00°
Space group Pm-3m (No. 221)
Asymmetric unit:
Ba 0.0000 0.0000 0.0000 [1 per cell]
In 0.0000 0.5000 0.5000 [3 per cell]
Ni 0.5000 0.5000 0.5000 [1 per cell]


Record 2
## MgB4 (PBE-GGA)

Data for an optimized crystal structure of MgB4.

Summary:
Energy above the most stable polymorph in this dataset = 0 meV per atom
Magnetic moment = 0.000 μB per formula unit
E = -116.0 eV for the cell shown
Calculated formation energy = -0.1408 eV/atom

a = 5.4846 Å, b = 4.3967 Å, c = 7.4227 Å
α = 90.00°, β = 90.00°, γ = 90.00°
Space group Pnma (No. 62)
Asymmetric unit:
Mg 0.0455 0.2500 0.1378 [4 per cell]
B 0.0532 0.2500 0.6470 [4 per cell]
B 0.1323 0.0580 0.4368 [8 per cell]
B 0.2223 0.2500 0.8464 [4 per cell]


Record 3
## TcHIrRu2 (PBE-GGA)

Data for an optimized crystal structure of TcHIrRu2.

Summary:
Energy above the most stable polymorph in this dataset = 31 meV per atom
Magnetic moment = 0.000 μB per formula unit
E = -40.9 eV for the cell shown

a = 3.9008 Å, b = 3.9008 Å, c = 3.8802 Å
α = 90.00°, β = 90.00°, γ = 90.00°
Space group P4/mmm (No. 123)
Asymmetric unit:
Tc 0.0000 0.0000 0.0000 [1 per cell]
H 0.5000 0.5000 0.5000 [1 per cell]
Ir 0.5000 0.5000 0.0000 [1 per cell]
Ru 0.0000 0.5000 0.5000 [2 per cell]


Record 4
## Ac2ErHg8 (PBE-GGA)

Data for an optimized crystal structure of Ac2ErHg8.

Summary:
Magnetic moment = 0.000 μB per formula unit
E = -38.3 eV for the cell shown
Calculated formation energy = -0.3586 eV/atom

a = 16.1869 Å, b = 5.3178 Å, c = 7.4819 Å
α = 90.00°, β = 111.26°, γ = 90.00°
Space group C2/m (No. 12)
Asymmetric unit:
Ac 0.2054 0.0000 0.1610 [4 per cell]
Er 0.0000 0.5000 0.5000 [2 per cell]
Hg 0.0093 0.0000 0.2372 [4 per cell]
Hg 0.0872 0.5000 0.9372 [4 per cell]
Hg 0.1540 0.0000 0.6451 [4 per cell]
Hg 0.1566 0.5000 0.3789 [4 per cell]